[1]
! RbBiPb2Cl8 PBE relaxed; values from VASP
! Uncorrected formation energy   -1.234 eV/atom
! Magnetization   0.0 Bohr magnetons per cell
&SYSTEM
  ibrav = 0, nat = 12, ntyp = 4
/
ATOMIC_SPECIES
Rb 85.47 Rb.upf
Bi 208.98 Bi.upf
Pb 207.20 Pb.upf
Cl 35.45 Cl.upf
CELL_PARAMETERS angstrom
6.921 0.025 -0.004
0.076 6.678 -0.006
0.007 0.012 9.033
ATOMIC_POSITIONS crystal
Rb 0.000 0.000 0.500
Bi 0.000 0.000 0.000
Pb 0.500 0.500 0.749
Pb 0.500 0.500 0.251
Cl 0.161 0.762 0.215
Cl 0.681 0.754 0.000
Cl 0.839 0.238 0.215
Cl 0.839 0.238 0.785
Cl 0.319 0.246 0.000
Cl 0.161 0.762 0.785
Cl 0.626 0.722 0.500
Cl 0.374 0.278 0.500



[2]
! RbMgNb PBE relaxed; values from VASP
! Excess energy over the best structure of this formula in the dataset   0.866 eV per atom
! Magnetization   4.7 Bohr magnetons per cell
&SYSTEM
  ibrav = 0, nat = 6, ntyp = 3
/
ATOMIC_SPECIES
Nb 92.91 Nb.upf
Mg 24.30 Mg.upf
Rb 85.47 Rb.upf
CELL_PARAMETERS angstrom
5.522 0.000 0.000
0.000 5.522 0.000
0.000 0.000 7.533
ATOMIC_POSITIONS crystal
Nb 0.000 0.500 0.562
Nb 0.500 0.000 0.438
Mg 0.000 0.000 0.500
Mg 0.500 0.500 0.500
Rb 0.000 0.500 0.101
Rb 0.500 0.000 0.899



[3]
! PrInCu2 PBE relaxed; values from VASP
! Magnetization   0.0 Bohr magnetons per cell
! VASP energy   -16.82 eV/f.u.
&SYSTEM
  ibrav = 0, nat = 4, ntyp = 3
/
ATOMIC_SPECIES
Pr 140.91 Pr.upf
Cu 63.55 Cu.upf
In 114.82 In.upf
CELL_PARAMETERS angstrom
4.827 0.000 0.000
2.414 4.180 0.000
2.414 1.393 3.941
ATOMIC_POSITIONS crystal
Pr 0.500 0.500 0.500
Cu 0.750 0.750 0.750
Cu 0.250 0.250 0.250
In 0.000 0.000 0.000



[4]
! Ce4Sc3Ga4 PBE relaxed; values from VASP
! Magnetization   2.5 Bohr magnetons per cell
! VASP energy   -59.08 eV/f.u.
&SYSTEM
  ibrav = 0, nat = 11, ntyp = 3
/
ATOMIC_SPECIES
Ce 140.12 Ce.upf
Sc 44.96 Sc.upf
Ga 69.72 Ga.upf
CELL_PARAMETERS angstrom
-2.912 -1.005 0.849
-1.569 -2.398 -8.217
5.634 -6.625 5.466
ATOMIC_POSITIONS crystal
Ce 0.337 0.179 0.675
Ce 0.663 0.504 0.325
Ce 0.663 0.821 0.325
Ce 0.337 0.496 0.675
Sc 0.088 0.088 0.176
Sc 0.912 0.912 0.824
Sc 0.000 0.500 0.000
Ga 0.287 0.787 0.573
Ga 0.713 0.213 0.427
Ga 0.500 0.777 0.000
Ga 0.500 0.223 0.000



| no. | N(E_F) (states/eV/cell) |
| --- | --- |
| 1 | 0.00 |
| 2 | 3.24 |
| 3 | 2.49 |
| 4 | 18.76 |